Computed, not measured: a relaxed structure of MgSeF6 at the PBE-GGA level of DFT.

For the density, the calculation gives 3.20 g cm⁻³. As for the crystal system: monoclinic. The calculation puts the uncorrected formation energy at -2.339 eV/atom. As for the raw total energy: -70.0 eV/cell.

The structure belongs to space group P2_1/c (No. 14); the cell edges are 5.3326, 5.5129 and 9.3443 Å and the angles 90.00°, 124.76° and 90.00°. Symmetry generates all atoms from Mg at (0.0000, 0.0000, 0.0000), Se at (0.5000, 0.0000, 0.5000), F at (0.1564, 0.1999, 0.4518), F at (0.2559, 0.7076, 0.4519) and F at (0.3511, 0.0176, 0.2542).

---

Computed, not measured: a relaxed structure of Mg2SeF at the PBE-GGA level of DFT.

For the density, the calculation gives 3.47 g cm⁻³. As for the crystal system: cubic. For the offset from the most stable computed form, the calculation gives 0.303 eV/atom. The calculation puts the uncorrected formation energy at -1.239 eV/atom. As for the raw total energy: -54.0 eV/cell.

The structure belongs to space group Fm-3m (No. 225); the cell edges are 6.5445, 6.5445 and 6.5445 Å and the angles 90.00°, 90.00° and 90.00°. Symmetry generates all atoms from Mg at (0.2500, 0.2500, 0.2500), Se at (0.0000, 0.0000, 0.0000) and F at (0.0000, 0.0000, 0.5000).

---

Computed, not measured: a relaxed structure of MgSeF3 at the PBE-GGA level of DFT.

For the density, the calculation gives 2.99 g cm⁻³. As for the crystal system: cubic. For the offset from the most stable computed form, the calculation gives 1.019 eV/atom. The calculation puts the uncorrected formation energy at -0.964 eV/atom. As for the raw total energy: -15.5 eV/cell.

The structure belongs to space group Pm-3m (No. 221); the cell edges are 4.4660, 4.4660 and 4.4660 Å and the angles 90.00°, 90.00° and 90.00°. Symmetry generates all atoms from Mg at (0.0000, 0.0000, 0.0000), Se at (0.5000, 0.5000, 0.5000) and F at (0.0000, 0.5000, 0.5000).

---

Computed, not measured: a relaxed structure of Mg2SeF at the PBE-GGA level of DFT.

For the density, the calculation gives 2.89 g cm⁻³. As for the crystal system: tetragonal. For the offset from the most stable computed form, the calculation gives 0.000 eV/atom. The calculation puts the uncorrected formation energy at -1.542 eV/atom. As for the raw total energy: -58.9 eV/cell.

The structure belongs to space group I-42d (No. 122); the cell edges are 5.4089, 5.4089 and 11.5193 Å and the angles 90.00°, 90.00° and 90.00°. Symmetry generates all atoms from Mg at (0.1848, 0.2500, 0.1250), Se at (0.0000, 0.0000, 0.5000) and F at (0.0000, 0.0000, 0.0000).

---

Computed, not measured: a relaxed structure of MgSe2F at the PBE-GGA level of DFT.

For the density, the calculation gives 4.45 g cm⁻³. As for the crystal system: tetragonal. For the offset from the most stable computed form, the calculation gives 0.000 eV/atom. The calculation puts the uncorrected formation energy at -0.915 eV/atom. As for the raw total energy: -56.4 eV/cell.

The structure belongs to space group I-42d (No. 122); the cell edges are 3.7533, 3.7533 and 21.3110 Å and the angles 90.00°, 90.00° and 90.00°. Symmetry generates all atoms from Mg at (0.0000, 0.0000, 0.0000), Se at (0.2487, 0.2500, 0.1250) and F at (0.0000, 0.0000, 0.5000).

---

Computed, not measured: a relaxed structure of MgSe2F at the PBE-GGA level of DFT.

For the density, the calculation gives 4.89 g cm⁻³. As for the crystal system: cubic. For the offset from the most stable computed form, the calculation gives 0.357 eV/atom. The calculation puts the uncorrected formation energy at -0.558 eV/atom. As for the raw total energy: -50.7 eV/cell.

The structure belongs to space group Fm-3m (No. 225); the cell edges are 6.4884, 6.4884 and 6.4884 Å and the angles 90.00°, 90.00° and 90.00°. Symmetry generates all atoms from Mg at (0.0000, 0.0000, 0.0000), Se at (0.2500, 0.2500, 0.2500) and F at (0.0000, 0.0000, 0.5000).